(1)
5
Lattice="4.5511 0.0000 0.0000 0.0000 4.5511 0.0000 0.0000 0.0000 4.3269" Properties=species:S:1:pos:R:3 comment="BeSiTc2S, optimized geometry, DFT PBE" e_form_raw_kj_per_mol_fu=659 crystal_system=tetragonal dos_at_fermi_per_ev_atom=0.88 magnetic_moment_mub_per_cell=3.12 pbc="T T T"
Be 0.0000 0.0000 0.0000
Si 2.2755 2.2755 2.1634
Tc 0.0000 2.2755 2.1634
Tc 2.2755 0.0000 2.1634
S 2.2755 2.2755 0.0000

=====

(2)
5
Lattice="4.5635 0.0000 0.0000 0.0000 4.5635 0.0000 0.0000 0.0000 4.5490" Properties=species:S:1:pos:R:3 comment="BeZnSi2S, optimized geometry, DFT PBE" e_form_raw_kj_per_mol_fu=520 crystal_system=tetragonal dos_at_fermi_per_ev_atom=0.46 magnetic_moment_mub_per_cell=0.00 pbc="T T T"
Be 0.0000 0.0000 0.0000
Zn 2.2817 2.2817 0.0000
Si 0.0000 2.2817 2.2745
Si 2.2817 0.0000 2.2745
S 2.2817 2.2817 2.2745

=====

(3)
6
Lattice="2.2624 1.3062 7.1904 -2.2624 1.3062 7.1904 0.0000 -2.6123 7.1904" Properties=species:S:1:pos:R:3 comment="SmBeS, optimized geometry, DFT PBE" e_form_raw_kj_per_mol_fu=-281 crystal_system=trigonal dos_at_fermi_per_ev_atom=0.16 magnetic_moment_mub_per_cell=0.00 pbc="T T T"
Sm 0.0000 0.0000 1.7427
Sm 0.0000 0.0000 19.8284
Be 0.0000 0.0000 6.9506
Be 0.0000 0.0000 14.6205
S 0.0000 0.0000 4.7330
S 0.0000 0.0000 16.8382

=====

(4)
14
Lattice="6.2650 0.0000 0.0000 0.0000 6.3769 0.0000 -2.3759 0.0000 7.3050" Properties=species:S:1:pos:R:3 comment="Sm2BeS4, optimized geometry, DFT PBE" e_form_raw_kj_per_mol_fu=-1155 crystal_system=monoclinic magnetic_moment_mub_per_cell=0.00 pbc="T T T"
Sm 1.2670 1.5942 0.3964
Sm 0.2779 1.5942 4.1399
Sm 3.6113 4.7827 3.1651
Sm 2.6221 4.7827 6.9085
Be -0.4378 4.7827 5.8755
Be 4.3270 1.5942 1.4295
S -1.7151 3.1997 5.4348
S -1.7151 6.3657 5.4348
S 2.4083 4.7827 0.6387
S 1.2048 4.7827 4.5390
S 2.6844 1.5942 2.7660
S 1.4808 1.5942 6.6663
S 5.6042 0.0112 1.8702
S 5.6042 3.1773 1.8702

=====

(5)
10
Lattice="-4.5053 4.5053 2.8405 4.5053 -4.5053 2.8405 4.5053 4.5053 -2.8405" Properties=species:S:1:pos:R:3 comment="Sm5BeS4, optimized geometry, DFT PBE" e_form_raw_kj_per_mol_fu=-1557 crystal_system=tetragonal dos_at_fermi_per_ev_atom=0.31 magnetic_moment_mub_per_cell=0.00 pbc="T T T"
Sm 0.0000 0.0000 0.0000
Sm 5.4009 1.8211 0.0000
Sm 1.8211 3.6097 0.0000
Sm 2.6841 0.8956 2.8405
Sm -0.8956 2.6841 2.8405
Be 0.0000 0.0000 2.8405
S 2.7225 0.8883 0.0000
S 3.6170 -1.7828 2.8405
S 0.8883 6.2881 0.0000
S 1.7828 3.6170 2.8405

=====

(6)
5
Lattice="-2.4292 2.4292 6.0942 2.4292 -2.4292 6.0942 2.4292 2.4292 -6.0942" Properties=species:S:1:pos:R:3 comment="BeSn2S2, optimized geometry, DFT PBE" e_form_raw_kj_per_mol_fu=193 e_above_lowest_polymorph_ev_per_fu=0.643 crystal_system=tetragonal dos_at_fermi_per_ev_atom=0.00 magnetic_moment_mub_per_cell=0.00 pbc="T T T"
Be 0.0000 0.0000 0.0000
Sn 0.0000 0.0000 4.2806
Sn 0.0000 0.0000 7.9078
S 2.4292 0.0000 3.0471
S 0.0000 2.4292 3.0471

=====

(7)
5
Lattice="4.2040 0.0000 0.0000 0.0000 4.2040 0.0000 0.0000 0.0000 4.2040" Properties=species:S:1:pos:R:3 comment="Be3SnS, optimized geometry, DFT PBE" e_form_raw_kj_per_mol_fu=279 e_above_lowest_polymorph_ev_per_fu=0.000 crystal_system=cubic dos_at_fermi_per_ev_atom=0.39 magnetic_moment_mub_per_cell=0.00 pbc="T T T"
Be 0.0000 0.0000 2.1020
Be 0.0000 2.1020 0.0000
Be 2.1020 0.0000 0.0000
Sn 2.1020 2.1020 2.1020
S 0.0000 0.0000 0.0000

=====

(8)
4
Lattice="0.0000 3.1400 3.1400 3.1400 0.0000 3.1400 3.1400 3.1400 0.0000" Properties=species:S:1:pos:R:3 comment="Be2SnS, optimized geometry, DFT PBE" e_form_raw_kj_per_mol_fu=304 e_above_lowest_polymorph_ev_per_fu=3.468 crystal_system=cubic dos_at_fermi_per_ev_atom=0.73 magnetic_moment_mub_per_cell=0.00 pbc="T T T"
Be 1.5700 1.5700 1.5700
Be 4.7099 4.7099 4.7099
Sn 0.0000 0.0000 0.0000
S 3.1400 3.1400 3.1400

=====

(9)
4
Lattice="0.0000 3.2761 3.2761 3.2761 0.0000 3.2761 3.2761 3.2761 0.0000" Properties=species:S:1:pos:R:3 comment="BeSnS2, optimized geometry, DFT PBE" e_form_raw_kj_per_mol_fu=111 e_above_lowest_polymorph_ev_per_fu=3.344 crystal_system=cubic dos_at_fermi_per_ev_atom=0.17 magnetic_moment_mub_per_cell=0.00 pbc="T T T"
Be 0.0000 0.0000 0.0000
Sn 3.2761 3.2761 3.2761
S 1.6381 1.6381 1.6381
S 4.9142 4.9142 4.9142

=====

(10)
6
Lattice="4.1625 -1.5474 0.0000 4.1625 1.5474 0.0000 -0.6166 0.0000 9.9062" Properties=species:S:1:pos:R:3 comment="BeSnS, optimized geometry, DFT PBE" e_form_raw_kj_per_mol_fu=95 crystal_system=monoclinic dos_at_fermi_per_ev_atom=0.39 magnetic_moment_mub_per_cell=0.00 pbc="T T T"
Be 0.0000 0.0000 0.0000
Be 4.2158 0.0000 8.3210
Sn 1.9256 0.0000 7.4350
Sn 6.0304 0.0000 0.9060
S 5.4943 0.0000 4.9930
S 6.7962 0.0000 3.5266

=====

(11)
10
Lattice="7.4392 0.0000 0.0000 0.0000 7.4392 0.0000 0.0000 0.0000 4.0002" Properties=species:S:1:pos:R:3 comment="BeSn2S2, optimized geometry, DFT PBE" e_form_raw_kj_per_mol_fu=131 e_above_lowest_polymorph_ev_per_fu=0.000 crystal_system=tetragonal dos_at_fermi_per_ev_atom=0.58 magnetic_moment_mub_per_cell=0.00 pbc="T T T"
Be 0.0000 0.0000 0.0000
Be 3.7196 3.7196 0.0000
Sn 1.3370 2.3827 0.0000
Sn 2.3827 6.1023 0.0000
Sn 5.0566 1.3370 0.0000
Sn 6.1023 5.0566 0.0000
S 1.1401 4.8597 2.0001
S 2.5795 1.1401 2.0001
S 4.8597 6.2991 2.0001
S 6.2991 2.5795 2.0001

=====

(12)
5
Lattice="4.9262 0.0000 0.0000 0.0000 4.9262 0.0000 0.0000 0.0000 4.9262" Properties=species:S:1:pos:R:3 comment="BeSn3S, optimized geometry, DFT PBE" e_form_raw_kj_per_mol_fu=164 e_above_lowest_polymorph_ev_per_fu=0.000 crystal_system=cubic dos_at_fermi_per_ev_atom=0.60 magnetic_moment_mub_per_cell=0.00 pbc="T T T"
Be 0.0000 0.0000 0.0000
Sn 0.0000 0.0000 2.4631
Sn 0.0000 2.4631 0.0000
Sn 2.4631 0.0000 0.0000
S 2.4631 2.4631 2.4631